A plane-wave DFT calculation with PBE-GGA was carried out for an optimized crystal structure of Li2ThTe4Pb.

Unit cell a=7.477 b=4.504 c=7.835 alpha=90.00 beta=109.72 gamma=90.00
Sites, in units of the cell vectors:
Li 0.000 0.000 0.000
Li 0.000 0.500 0.500
Th 0.500 0.000 0.500
Te 0.236 0.000 0.734
Te 0.239 0.500 0.255
Te 0.761 0.500 0.745
Te 0.764 0.000 0.266
Pb 0.500 0.500 0.000

final energy: -4.3564 eV per atom
SG: P2/m
ΔE_f (raw): -0.92 eV/atom

---

A plane-wave DFT calculation with PBE-GGA was carried out for an optimized crystal structure of LiTm2Te6Pb3.

Unit cell a=10.133 b=10.133 c=9.154 alpha=104.89 beta=104.89 gamma=25.28
Sites, in units of the cell vectors:
Li 0.000 0.000 0.000
Tm 0.336 0.336 0.665
Tm 0.664 0.664 0.335
Te 0.166 0.166 0.104
Te 0.173 0.173 0.573
Te 0.494 0.494 0.761
Te 0.506 0.506 0.239
Te 0.827 0.827 0.427
Te 0.834 0.834 0.896
Pb 0.000 0.000 0.500
Pb 0.338 0.338 0.158
Pb 0.662 0.662 0.842

final energy: -4.1697 eV per atom
SG: C2/m
ΔE_f (raw): -0.77 eV/atom

---

A plane-wave DFT calculation with PBE-GGA was carried out for an optimized crystal structure of LiTmTe4Pb2.

Unit cell a=7.696 b=4.468 c=7.807 alpha=90.00 beta=108.77 gamma=90.00
Sites, in units of the cell vectors:
Li 0.000 0.000 0.000
Tm 0.500 0.500 0.000
Te 0.244 0.500 0.227
Te 0.256 0.000 0.773
Te 0.744 0.000 0.227
Te 0.756 0.500 0.773
Pb 0.000 0.500 0.500
Pb 0.500 0.000 0.500

final energy: -4.0877 eV per atom
SG: P2/m
ΔE_f (raw): -0.79 eV/atom

---

A plane-wave DFT calculation with PBE-GGA was carried out for an optimized crystal structure of LiTm3Te8Pb3.

Unit cell a=9.048 b=9.048 c=9.048 alpha=58.15 beta=58.15 gamma=58.15
Sites, in units of the cell vectors:
Li 0.000 0.000 0.000
Tm 0.000 0.500 0.500
Tm 0.500 0.000 0.500
Tm 0.500 0.500 0.000
Te 0.243 0.243 0.740
Te 0.243 0.740 0.243
Te 0.256 0.256 0.256
Te 0.260 0.757 0.757
Te 0.740 0.243 0.243
Te 0.744 0.744 0.744
Te 0.757 0.260 0.757
Te 0.757 0.757 0.260
Pb 0.000 0.000 0.500
Pb 0.000 0.500 0.000
Pb 0.500 0.000 0.000

final energy: -4.2964 eV per atom
SG: R-3m
ΔE_f (raw): -0.86 eV/atom

---

A plane-wave DFT calculation with PBE-GGA was carried out for an optimized crystal structure of LiTmTe3Pb.

Unit cell a=9.039 b=4.380 c=9.685 alpha=90.00 beta=103.76 gamma=90.00
Sites, in units of the cell vectors:
Li 0.083 0.250 0.085
Li 0.917 0.750 0.915
Tm 0.330 0.750 0.334
Tm 0.670 0.250 0.666
Te 0.106 0.250 0.374
Te 0.234 0.750 0.012
Te 0.432 0.750 0.662
Te 0.568 0.250 0.338
Te 0.766 0.250 0.988
Te 0.894 0.750 0.626
Pb 0.185 0.250 0.741
Pb 0.815 0.750 0.259

final energy: -4.1638 eV per atom
SG: P2_1/m
ΔE_f (raw): -0.91 eV/atom

---

A plane-wave DFT calculation with PBE-GGA was carried out for an optimized crystal structure of Li3UTe6Pb2.

Unit cell a=7.782 b=7.782 c=7.408 alpha=100.09 beta=100.09 gamma=120.08
Sites, in units of the cell vectors:
Li 0.000 0.000 0.000
Li 0.332 0.668 0.000
Li 0.668 0.332 0.000
U 0.500 0.500 0.500
Te 0.102 0.412 0.237
Te 0.275 0.275 0.756
Te 0.412 0.102 0.237
Te 0.588 0.898 0.763
Te 0.725 0.725 0.244
Te 0.898 0.588 0.763
Pb 0.167 0.833 0.500
Pb 0.833 0.167 0.500

final energy: -4.2785 eV per atom
SG: C2/m
ΔE_f (raw): -0.67 eV/atom